[1]
Here is crystalline TbHoTe2F2 at its relaxed geometry from the Open Quantum Materials Database. Energies are from GGA-PBE.

Lattice parameters (Å, degrees): 4.016 4.016 7.381 90.00 90.00 90.00
Positions (direct):
Tb (0.000, 0.000, 0.000)
Ho (0.500, 0.500, 0.604)
Te (0.000, 0.000, 0.442)
Te (0.500, 0.500, 0.165)
F (0.000, 0.500, 0.801)
F (0.500, 0.000, 0.801)


[2]
Here is crystalline Gd3DyPt4 at its relaxed geometry from the Open Quantum Materials Database. Energies are from GGA-PBE.

## Properties
E_form in eV per atom: -1.2620

Lattice parameters (Å, degrees): 5.599 4.528 7.085 90.00 90.18 90.00
Positions (direct):
Gd (0.000, 0.000, 0.000)
Gd (0.220, 0.000, 0.499)
Gd (0.720, 0.500, 0.635)
Dy (0.500, 0.500, 0.135)
Pt (0.015, 0.500, 0.272)
Pt (0.206, 0.500, 0.774)
Pt (0.514, 0.000, 0.864)
Pt (0.704, 0.000, 0.360)


Number 1: raw total energy -0.42065 Ry per atom. Number 2: raw total energy -0.48586 Ry per atom.